1.
## LiSm2ZnAg6 (GGA-PBE)

Data for a relaxed structure of LiSm2ZnAg6.

The structure belongs to space group P-1 (No. 2); the cell edges are 4.839, 6.782 and 7.772 Å and the angles 115.83°, 108.09° and 90.11°. The distinct sites, in fractional coordinates, are Li at (0.000, 0.000, 0.000), Sm at (0.157, 0.656, 0.314), Zn at (0.500, 0.500, 0.000), Ag at (0.202, 0.202, 0.404), Ag at (0.378, 0.080, 0.756) and Ag at (0.379, 0.678, 0.757).

***

2.
## ZnAgAs2 (GGA-PBE)

Data for a relaxed structure of ZnAgAs2.

The structure belongs to space group I-42d (No. 122); the cell edges are 4.530, 4.530 and 16.275 Å and the angles 90.00°, 90.00° and 90.00°. The distinct sites, in fractional coordinates, are Zn at (0.000, 0.000, 0.000), Ag at (0.000, 0.000, 0.500) and As at (0.231, 0.250, 0.125).

***

How do the records compare in calculated formation energy? In the order shown, they have -0.17 0.18 eV per atom.